1.
# Fe2Ni9H (PBE, optimized geometry)
data_Fe2Ni9H
_chemical_formula_sum 'Fe2 Ni9 H1'
_cell_length_a 3.540
_cell_length_b 3.540
_cell_length_c 10.164
_cell_angle_alpha 90.00
_cell_angle_beta 90.00
_cell_angle_gamma 90.00
_symmetry_space_group_name_H-M 'P 4/m m m'
_symmetry_Int_Tables_number 123
_symmetry_space_group_name_Hall '-P 4 2'
loop_
_atom_site_label
_atom_site_fract_x
_atom_site_fract_y
_atom_site_fract_z
Fe1 0.000 0.000 0.177
Ni1 0.000 0.500 0.000
Ni2 0.000 0.500 0.347
Ni3 0.500 0.500 0.173
Ni4 0.500 0.500 0.500
H1 0.000 0.000 0.500
# Mass density ... 8.4 g/cm³
# Raw total energy ... -0.436 Ry per atom

2.
# Fe2NiH (PBE, optimized geometry)
data_Fe2NiH
_chemical_formula_sum 'Fe2 Ni1 H1'
_cell_length_a 2.506
_cell_length_b 2.506
_cell_length_c 5.962
_cell_angle_alpha 90.00
_cell_angle_beta 90.00
_cell_angle_gamma 90.00
_symmetry_space_group_name_H-M 'P 4/m m m'
_symmetry_Int_Tables_number 123
_symmetry_space_group_name_Hall '-P 4 2'
loop_
_atom_site_label
_atom_site_fract_x
_atom_site_fract_y
_atom_site_fract_z
Fe1 0.000 0.000 0.198
Ni1 0.500 0.500 0.500
H1 0.500 0.500 0.000
# Mass density ... 7.6 g/cm³
# Distance to the lowest polymorph of the same formula ... 0.200 eV/atom

Number 2 is which compound? Fe2NiH